Computed, not measured: crystalline LaGdN2 at its relaxed geometry at the PBE-GGA level of DFT.

Properties
E_form (uncorrected) = -1424 meV/atom

Cell and atoms, written as extended XYZ:
```
12
Lattice="3.6351 0.0000 0.0000 -1.8175 3.1481 0.0000 0.0000 0.0000 17.8874" Properties=species:S:1:pos:R:3 pbc="T T T"
La 0.0000 0.0000 0.0000
La 0.0000 2.0987 11.9249
La 1.8175 1.0494 5.9625
Gd 0.0000 0.0000 8.9437
Gd 0.0000 2.0987 2.9812
Gd 1.8175 1.0494 14.9061
N 0.0000 0.0000 4.4004
N 0.0000 0.0000 13.4870
N 0.0000 2.0987 7.5245
N 0.0000 2.0987 16.3253
N 1.8175 1.0494 1.5621
N 1.8175 1.0494 10.3628
```

Computed, not measured: crystalline Ga2Si2Ni5Ge at its relaxed geometry at the PBE-GGA level of DFT.

Properties
E_form (uncorrected) = -176 meV/atom

Cell and atoms, written as extended XYZ:
```
20
Lattice="8.6213 0.0000 0.0000 0.0000 8.6213 0.0000 0.0000 0.0000 3.4654" Properties=species:S:1:pos:R:3 pbc="T T T"
Ga 1.4701 2.8406 0.0000
Ga 2.8406 7.1512 0.0000
Ga 5.7807 1.4701 0.0000
Ga 7.1512 5.7807 0.0000
Si 1.0971 5.4077 0.0000
Si 3.2135 1.0971 0.0000
Si 5.4077 7.5242 0.0000
Si 7.5242 3.2135 0.0000
Ni 0.0000 4.3106 1.7327
Ni 0.7186 6.8893 1.7327
Ni 1.7320 0.7186 1.7327
Ni 2.5786 5.0292 1.7327
Ni 3.5920 2.5786 1.7327
Ni 4.3106 0.0000 1.7327
Ni 5.0292 6.0426 1.7327
Ni 6.0426 3.5920 1.7327
Ni 6.8893 7.9027 1.7327
Ni 7.9027 1.7320 1.7327
Ge 0.0000 0.0000 0.0000
Ge 4.3106 4.3106 0.0000
```

Computed, not measured: crystalline PmCd3Cu at its relaxed geometry at the PBE-GGA level of DFT.

Properties
Formation energy = -4.5 kcal/mol of atoms

Cell and atoms, written as extended XYZ:
```
10
Lattice="7.0261 0.0000 0.0000 0.0000 4.3135 0.0000 -1.8738 0.0000 7.4781" Properties=species:S:1:pos:R:3 pbc="T T T"
Pm 1.0822 1.0784 1.2873
Pm 4.0700 3.2352 6.1909
Cd -0.6887 1.0784 4.9504
Cd 0.5643 3.2352 6.7485
Cd 1.4405 3.2352 3.9024
Cd 3.7117 1.0784 3.5758
Cd 4.5880 1.0784 0.7296
Cd 5.8410 3.2352 2.5277
Cu 1.9751 1.0784 5.6267
Cu 3.1771 3.2352 1.8514
```

Computed, not measured: crystalline Sb2O5 at its relaxed geometry at the PBE-GGA level of DFT.

Properties
E_form (uncorrected) = -1248 meV/atom

Cell and atoms, written as extended XYZ:
```
14
Lattice="6.4357 -2.4443 0.0000 6.4357 2.4443 0.0000 -1.2924 0.0000 5.3614" Properties=species:S:1:pos:R:3 pbc="T T T"
Sb 3.7296 1.2770 3.8464
Sb 7.2032 1.2770 4.1957
Sb 4.3758 -1.2770 1.1657
Sb 7.8494 -1.2770 1.5150
O 0.0838 0.4285 5.0950
O 0.7300 -0.4285 2.4143
O 3.3423 0.3884 2.0209
O 2.6961 -0.3884 4.7016
O 5.4664 0.3921 4.0210
O 6.1126 -0.3921 1.3403
O 8.8829 0.3884 0.6598
O 8.2367 -0.3884 3.3404
O 10.8490 0.4285 2.9471
O 11.4952 -0.4285 0.2664
```

Computed, not measured: crystalline InCo2Mo at its relaxed geometry at the PBE-GGA level of DFT.

Properties
Formation energy = 5.9 kcal/mol of atoms

Cell and atoms, written as extended XYZ:
```
8
Lattice="5.7732 0.0000 0.0000 0.0000 6.9578 0.0000 0.0000 0.0000 2.7993" Properties=species:S:1:pos:R:3 pbc="T T T"
In 0.0000 0.0000 0.0000
In 2.8866 3.4789 0.0000
Co 1.4433 1.7394 1.3997
Co 1.4433 5.2183 1.3997
Co 4.3299 1.7394 1.3997
Co 4.3299 5.2183 1.3997
Mo 0.0000 3.4789 0.0000
Mo 2.8866 0.0000 0.0000
```

Computed, not measured: crystalline LiTmThSc at its relaxed geometry at the PBE-GGA level of DFT.

Properties
Formation energy = 4.4 kcal/mol of atoms

Cell and atoms, written as extended XYZ:
```
16
Lattice="7.5361 0.0000 0.0000 0.0000 7.5361 0.0000 0.0000 0.0000 7.5361" Properties=species:S:1:pos:R:3 pbc="T T T"
Li 0.0000 0.0000 0.0000
Li 0.0000 3.7681 3.7681
Li 3.7681 0.0000 3.7681
Li 3.7681 3.7681 0.0000
Tm 1.8840 1.8840 1.8840
Tm 1.8840 5.6521 5.6521
Tm 5.6521 1.8840 5.6521
Tm 5.6521 5.6521 1.8840
Th 1.8840 1.8840 5.6521
Th 1.8840 5.6521 1.8840
Th 5.6521 1.8840 1.8840
Th 5.6521 5.6521 5.6521
Sc 0.0000 0.0000 3.7681
Sc 0.0000 3.7681 0.0000
Sc 3.7681 0.0000 0.0000
Sc 3.7681 3.7681 3.7681
```

Computed, not measured: crystalline La8Tl2Au at its relaxed geometry at the PBE-GGA level of DFT.

Properties
Formation energy = -6.8 kcal/mol of atoms

Cell and atoms, written as extended XYZ:
```
11
Lattice="9.9387 -2.6931 0.0000 9.9387 2.6931 0.0000 -1.9772 0.0000 6.8209" Properties=species:S:1:pos:R:3 pbc="T T T"
La -0.3236 0.0000 1.8660
La 2.5733 0.0000 5.4883
La 5.8407 0.0000 3.5137
La 8.0841 0.0000 0.2729
La 9.8160 0.0000 6.5480
La 12.0594 0.0000 3.3073
La 15.3268 0.0000 1.3326
La 18.2237 0.0000 4.9550
Tl 3.0562 0.0000 1.6170
Tl 14.8439 0.0000 5.2040
Au 8.9501 0.0000 3.4105
```

Number 1: VASP energy -10.34 eV per atom. Number 2: VASP energy -5.22 eV per atom. Number 3: VASP energy -2.51 eV per atom. Number 4: VASP energy -5.97 eV per atom. Number 5: VASP energy -6.69 eV per atom. Number 6: VASP energy -4.84 eV per atom. Number 7: VASP energy -4.61 eV per atom.